Sm2Zn4CdAu3 | GGA-PBE | optimized geometry

Values from the calculation:
**Total energy**: -3.00 eV/atom
**Calculated density**: 10.193 Mg/m³

Cell lengths 4.1787, 4.1787, 11.8088 Å; angles 90.00, 90.00, 90.00 degrees
Closest atoms and distances in Å follow each position.
Atoms (fractional coordinates):
1 Sm 0.0000 0.5000 0.2448  4 Au 3.20, 8 Zn 3.23-3.57
2 Sm 0.5000 0.0000 0.7552  4 Au 3.20, 8 Zn 3.23-3.57
3 Zn 0.0000 0.0000 0.0000  4 Au 2.67, 4 Zn 2.95
4 Zn 0.0000 0.5000 0.6438  3 Au 2.55-2.69, 2 Cd 2.69
5 Zn 0.5000 0.0000 0.3562  3 Au 2.55-2.69, 2 Cd 2.69
6 Zn 0.5000 0.5000 0.0000  4 Au 2.67, 4 Zn 2.95
7 Cd 0.0000 0.0000 0.5000  4 Zn 2.69, 4 Au 2.95
8 Au 0.0000 0.5000 0.8596  5 Zn 2.55-2.67
9 Au 0.5000 0.0000 0.1404  5 Zn 2.55-2.67
10 Au 0.5000 0.5000 0.5000  4 Zn 2.69, 4 Cd 2.95

=====

K4BeAg | GGA-PBE | optimized geometry

Values from the calculation:
**Total energy**: -1.06 eV/atom
**Calculated density**: 1.550 Mg/m³

Cell lengths 7.4529, 7.4529, 7.4529 Å; angles 60.00, 60.00, 60.00 degrees
Closest atoms and distances in Å follow each position.
Atoms (fractional coordinates):
1 K 0.1247 0.1247 0.1247  6 K 3.72-3.74
2 K 0.1247 0.1247 0.6260  6 K 3.72-3.74
3 K 0.1247 0.6260 0.1247  6 K 3.72-3.74
4 K 0.6260 0.1247 0.1247  6 K 3.72-3.74
5 Be 0.5000 0.5000 0.5000  12 K 4.37, 4 Ag 4.56
6 Ag 0.7500 0.7500 0.7500  12 K 4.37, 4 Be 4.56

=====

TlRe2Au | GGA-PBE | optimized geometry

Values from the calculation:
**Total energy**: -6.18 eV/atom
**Calculated density**: 16.543 Mg/m³
**Polymorph energy (0 for the lowest one)**: 1048 meV per atom

Cell lengths 7.6199, 7.6199, 5.3506 Å; angles 90.00, 90.00, 90.00 degrees
Closest atoms and distances in Å follow each position.
Atoms (fractional coordinates):
1 Tl 0.0000 0.0000 0.0000  2 Au 2.68, 4 Re 2.84
2 Tl 0.0000 0.5000 0.2500  2 Au 2.68, 4 Re 2.84
3 Tl 0.5000 0.0000 0.7500  2 Au 2.68, 4 Re 2.84
4 Tl 0.5000 0.5000 0.5000  2 Au 2.68, 4 Re 2.84
5 Re 0.2376 0.7500 0.6250  2 Re 2.68, 2 Au 2.71, 2 Tl 2.84
6 Re 0.2500 0.2376 0.3750  2 Re 2.68, 2 Au 2.71, 2 Tl 2.84
7 Re 0.2500 0.2624 0.8750  2 Re 2.68, 2 Au 2.71, 2 Tl 2.84
8 Re 0.2624 0.7500 0.1250  2 Re 2.68, 2 Au 2.71, 2 Tl 2.84
9 Re 0.7376 0.2500 0.1250  2 Re 2.68, 2 Au 2.71, 2 Tl 2.84
10 Re 0.7500 0.7376 0.8750  2 Re 2.68, 2 Au 2.71, 2 Tl 2.84
11 Re 0.7500 0.7624 0.3750  2 Re 2.68, 2 Au 2.71, 2 Tl 2.84
12 Re 0.7624 0.2500 0.6250  2 Re 2.68, 2 Au 2.71, 2 Tl 2.84
13 Au 0.0000 0.0000 0.5000  2 Tl 2.68, 4 Re 2.71
14 Au 0.0000 0.5000 0.7500  2 Tl 2.68, 4 Re 2.71
15 Au 0.5000 0.0000 0.2500  2 Tl 2.68, 4 Re 2.71
16 Au 0.5000 0.5000 0.0000  2 Tl 2.68, 4 Re 2.71